# BaLiB2Ru GGA-PBE relaxed
# ΔH_f (0 K) ... 1.84 eV/atom
# Total magnetization ... 1.21 Bohr magnetons per cell
data_BaLiB2Ru
_chemical_formula_sum 'Ba1 Li1 B2 Ru1'
_cell_length_a 4.1720
_cell_length_b 4.1720
_cell_length_c 4.9744
_cell_angle_alpha 90.00
_cell_angle_beta 90.00
_cell_angle_gamma 90.00
_symmetry_space_group_name_H-M 'P 4/m m m'
_symmetry_Int_Tables_number 123
_symmetry_space_group_name_Hall '-P 4 2'
loop_
_atom_site_label
_atom_site_type_symbol
_atom_site_fract_x
_atom_site_fract_y
_atom_site_fract_z
Ba1 Ba 0.0000 0.0000 0.0000
Li1 Li 0.0000 0.0000 0.5000
B1 B 0.0000 0.5000 0.5000
Ru1 Ru 0.5000 0.5000 0.0000